Crystalline MnPIO2 at its relaxed geometry. Source: Alexandria, functional PBE+U.

As for the total DFT energy (no corrections): -4.99 eV/atom. The value obtained for the volume is 16.50 Å³/atom. As for the polymorph energy (0 for the lowest one): 27 meV/atom.

The space group is P4/mmm (No. 123) and the conventional cell measures 3.8054, 3.8054 and 5.6957 Å, with angles of 90.00, 90.00 and 90.00 degrees. The asymmetric unit holds Mn at (0.0000, 0.0000, 0.0000), P at (0.5000, 0.5000, 0.5000), I at (0.5000, 0.5000, 0.0000) and O at (0.0000, 0.5000, 0.5000).